Record 1
Compound: CePm3Bi4
Source: the Alexandria database
Functional: GGA-PBE
Structure: optimized geometry

Lattice parameters (Å, degrees): 6.483 6.483 6.483 90.00 90.00 90.00
Positions (direct):
Ce  0.000  0.000  0.000
Pm  0.000  0.500  0.500
Pm  0.500  0.000  0.500
Pm  0.500  0.500  0.000
Bi  0.000  0.000  0.500
Bi  0.000  0.500  0.000
Bi  0.500  0.000  0.000
Bi  0.500  0.500  0.500

## Properties
N(E_F), states/eV/cell: 7.8
SG: Pm-3m (221)

=====

Record 2
Compound: CePm2Bi4
Source: the Alexandria database
Functional: GGA-PBE
Structure: optimized geometry

Lattice parameters (Å, degrees): 8.320 8.320 8.320 109.31 109.31 109.80
Positions (direct):
Ce  0.000  0.000  0.000
Ce  0.750  0.250  0.500
Pm  0.251  0.125  0.626
Pm  0.375  0.749  0.874
Pm  0.499  0.625  0.374
Pm  0.875  0.501  0.126
Bi  0.121  0.373  0.407
Bi  0.123  0.371  0.907
Bi  0.286  0.879  0.253
Bi  0.464  0.217  0.093
Bi  0.627  0.033  0.747
Bi  0.629  0.536  0.753
Bi  0.783  0.877  0.247
Bi  0.967  0.714  0.593

## Properties
N(E_F), states/eV/cell: 14.5
SG: I-42d (122)

=====

Record 3
Compound: Ce4PmBi6
Source: the Alexandria database
Functional: GGA-PBE
Structure: optimized geometry

Lattice parameters (Å, degrees): 9.024 9.024 9.024 88.70 88.70 88.70
Positions (direct):
Ce  0.141  0.750  0.359
Ce  0.250  0.250  0.250
Ce  0.250  0.641  0.859
Ce  0.359  0.141  0.750
Ce  0.641  0.859  0.250
Ce  0.750  0.359  0.141
Ce  0.750  0.750  0.750
Ce  0.859  0.250  0.641
Pm  0.000  0.000  0.000
Pm  0.500  0.500  0.500
Bi  0.066  0.920  0.669
Bi  0.080  0.331  0.934
Bi  0.169  0.420  0.566
Bi  0.331  0.934  0.080
Bi  0.420  0.566  0.169
Bi  0.434  0.831  0.580
Bi  0.566  0.169  0.420
Bi  0.580  0.434  0.831
Bi  0.669  0.066  0.920
Bi  0.831  0.580  0.434
Bi  0.920  0.669  0.066
Bi  0.934  0.080  0.331

## Properties
N(E_F), states/eV/cell: 50.7
SG: R-3c (167)

=====

| no. | raw total energy (eV/atom) | ΔE_f (meV/atom) |
| --- | --- | --- |
| 1 | -5.370 | -906 |
| 2 | -5.137 | -714 |
| 3 | -5.353 | -647 |